# 1
First-principles (PBE) data for KMgSiW after structural relaxation, as listed in Alexandria via LeMat-Bulk.

a b c (Å): 2.748 5.096 7.859
angles (deg): 108.43 96.68 90.01
Space group P1 (No. 1)
Unique sites:
K (0.000, 0.000, 0.000) (multiplicity 1)
Mg (0.693, 0.300, 0.582) (multiplicity 1)
Si (0.584, 0.621, 0.249) (multiplicity 1)
W (0.178, 0.773, 0.529) (multiplicity 1)

Excess energy over the best structure of this formula in the dataset (eV/atom): 0.2524
Formation energy from raw total energies (eV/atom): 0.606

# 2
First-principles (PBE) data for K3PuHg2O6 after structural relaxation, as listed in Alexandria via LeMat-Bulk.

a b c (Å): 6.024 11.891 6.159
angles (deg): 90.00 100.18 90.00
Space group C2/m (No. 12)
Unique sites:
K (0.000, 0.000, 0.000) (multiplicity 2)
K (0.000, 0.319, 0.000) (multiplicity 4)
Pu (0.000, 0.500, 0.500) (multiplicity 2)
Hg (0.000, 0.155, 0.500) (multiplicity 4)
O (0.148, 0.500, 0.248) (multiplicity 4)
O (0.249, 0.361, 0.686) (multiplicity 8)

Formation energy from raw total energies (eV/atom): -1.554